Record 1
# ZrScOs3 (PBE, optimized geometry)
# Energy above the lowest structure with this stoichiometry ... 0.000 eV per atom
# M_tot ... 0.00 μB per cell
# ΔH_f (0 K) ... 1.48 eV/atom
data_ZrScOs3
_chemical_formula_sum 'Zr1 Sc1 Os3'
_cell_length_a 4.6072
_cell_length_b 4.6072
_cell_length_c 4.6072
_cell_angle_alpha 90.00
_cell_angle_beta 90.00
_cell_angle_gamma 90.00
_space_group_name_H-M_alt 'P m -3 m'
_space_group_IT_number 221
_space_group_name_Hall '-P 4 2 3'
loop_
_atom_site_label
_atom_site_fract_x
_atom_site_fract_y
_atom_site_fract_z
Zr1 0.0000 0.0000 0.0000
Sc1 0.5000 0.5000 0.5000
Os1 0.0000 0.5000 0.5000



Record 2
# ZrScOs2 (PBE, optimized geometry)
# Energy above the lowest structure with this stoichiometry ... 0.393 eV per atom
# M_tot ... 0.00 μB per cell
# ΔH_f (0 K) ... -0.08 eV/atom
data_ZrScOs2
_chemical_formula_sum 'Zr1 Sc1 Os2'
_cell_length_a 3.2806
_cell_length_b 4.3210
_cell_length_c 4.8424
_cell_angle_alpha 90.00
_cell_angle_beta 90.00
_cell_angle_gamma 90.00
_space_group_name_H-M_alt 'P m m m'
_space_group_IT_number 47
loop_
_space_group_symop_operation_xyz
'x,y,z'
'-x,-y,-z'
'-x,-y,z'
'x,y,-z'
'x,-y,-z'
'-x,y,z'
'-x,y,-z'
'x,-y,z'
loop_
_atom_site_label
_atom_site_fract_x
_atom_site_fract_y
_atom_site_fract_z
Zr1 0.0000 0.0000 0.0000
Sc1 0.5000 0.0000 0.5000
Os1 0.0000 0.5000 0.5000
Os2 0.5000 0.5000 0.0000



Record 3
# ZrSc4Os (PBE, optimized geometry)
# Energy above the lowest structure with this stoichiometry ... 0.661 eV per atom
# M_tot ... 3.35 μB per cell
# ΔH_f (0 K) ... 0.48 eV/atom
data_ZrSc4Os
_chemical_formula_sum 'Zr4 Sc16 Os4'
_cell_length_a 7.9119
_cell_length_b 7.9119
_cell_length_c 7.9119
_cell_angle_alpha 90.00
_cell_angle_beta 90.00
_cell_angle_gamma 90.00
_space_group_name_H-M_alt 'F -4 3 m'
_space_group_IT_number 216
_space_group_name_Hall 'F -4 2 3'
loop_
_atom_site_label
_atom_site_fract_x
_atom_site_fract_y
_atom_site_fract_z
Zr1 0.0000 0.0000 0.0000
Sc1 0.1244 0.1244 0.3756
Os1 0.2500 0.2500 0.7500



Record 4
# ZrSc2Os2 (PBE, optimized geometry)
# Energy above the lowest structure with this stoichiometry ... 0.172 eV per atom
# M_tot ... 0.00 μB per cell
# ΔH_f (0 K) ... -0.21 eV/atom
data_ZrSc2Os2
_chemical_formula_sum 'Zr2 Sc4 Os4'
_cell_length_a 7.5180
_cell_length_b 7.5180
_cell_length_c 3.3282
_cell_angle_alpha 90.00
_cell_angle_beta 90.00
_cell_angle_gamma 90.00
_space_group_name_H-M_alt 'P 4/m b m'
_space_group_IT_number 127
_space_group_name_Hall '-P 4 2ab'
loop_
_atom_site_label
_atom_site_fract_x
_atom_site_fract_y
_atom_site_fract_z
Zr1 0.0000 0.0000 0.0000
Sc1 0.1459 0.3541 0.5000
Os1 0.1535 0.6535 0.0000



Record 5
# ZrScOs2 (PBE, optimized geometry)
# Energy above the lowest structure with this stoichiometry ... 0.422 eV per atom
# M_tot ... 0.00 μB per cell
# ΔH_f (0 K) ... -0.05 eV/atom
data_ZrScOs2
_chemical_formula_sum 'Zr1 Sc1 Os2'
_cell_length_a 2.8973
_cell_length_b 2.8973
_cell_length_c 8.7499
_cell_angle_alpha 90.00
_cell_angle_beta 90.00
_cell_angle_gamma 90.00
_space_group_name_H-M_alt 'P 4 m m'
_space_group_IT_number 99
loop_
_space_group_symop_operation_xyz
'x,y,z'
'-y,x,z'
'-x,-y,z'
'y,-x,z'
'-x,y,z'
'y,x,z'
'x,-y,z'
'-y,-x,z'
loop_
_atom_site_label
_atom_site_fract_x
_atom_site_fract_y
_atom_site_fract_z
Zr1 0.0000 0.0000 0.0000
Sc1 0.5000 0.5000 0.6736
Os1 0.0000 0.0000 0.4385
Os2 0.5000 0.5000 0.2520



Record 6
# ZrSc2Os (PBE, optimized geometry)
# Energy above the lowest structure with this stoichiometry ... 0.033 eV per atom
# M_tot ... 0.00 μB per cell
# ΔH_f (0 K) ... -0.27 eV/atom
data_ZrSc2Os
_chemical_formula_sum 'Zr4 Sc8 Os4'
_cell_length_a 3.4587
_cell_length_b 11.2869
_cell_length_c 8.6496
_cell_angle_alpha 90.00
_cell_angle_beta 90.00
_cell_angle_gamma 90.00
_space_group_name_H-M_alt 'C m c m'
_space_group_IT_number 63
_space_group_name_Hall '-C 2c 2'
loop_
_atom_site_label
_atom_site_fract_x
_atom_site_fract_y
_atom_site_fract_z
Zr1 0.0000 0.0581 0.2500
Sc1 0.0000 0.3613 0.0602
Os1 0.0000 0.2618 0.7500



Record 7
# ZrScOs2 (PBE, optimized geometry)
# Energy above the lowest structure with this stoichiometry ... 0.591 eV per atom
# M_tot ... 0.00 μB per cell
# ΔH_f (0 K) ... 0.12 eV/atom
data_ZrScOs2
_chemical_formula_sum 'Zr1 Sc1 Os2'
_cell_length_a 3.5391
_cell_length_b 3.5391
_cell_length_c 5.8061
_cell_angle_alpha 90.00
_cell_angle_beta 90.00
_cell_angle_gamma 90.00
_space_group_name_H-M_alt 'P 4 m m'
_space_group_IT_number 99
loop_
_space_group_symop_operation_xyz
'x,y,z'
'-y,x,z'
'-x,-y,z'
'y,-x,z'
'-x,y,z'
'y,x,z'
'x,-y,z'
'-y,-x,z'
loop_
_atom_site_label
_atom_site_fract_x
_atom_site_fract_y
_atom_site_fract_z
Zr1 0.0000 0.0000 0.0000
Sc1 0.5000 0.5000 0.6713
Os1 0.0000 0.0000 0.4981
Os2 0.5000 0.5000 0.1866



Record 8
# Zr3ScOs4 (PBE, optimized geometry)
# M_tot ... 0.00 μB per cell
# ΔH_f (0 K) ... -0.52 eV/atom
data_Zr3ScOs4
_chemical_formula_sum 'Zr3 Sc1 Os4'
_cell_length_a 3.2740
_cell_length_b 4.6225
_cell_length_c 9.2380
_cell_angle_alpha 90.00
_cell_angle_beta 90.00
_cell_angle_gamma 90.00
_space_group_name_H-M_alt 'P m m m'
_space_group_IT_number 47
loop_
_space_group_symop_operation_xyz
'x,y,z'
'-x,-y,-z'
'-x,-y,z'
'x,y,-z'
'x,-y,-z'
'-x,y,z'
'-x,y,-z'
'x,-y,z'
loop_
_atom_site_label
_atom_site_fract_x
_atom_site_fract_y
_atom_site_fract_z
Zr1 0.0000 0.0000 0.0000
Zr2 0.0000 0.5000 0.2547
Sc1 0.0000 0.0000 0.5000
Os1 0.5000 0.0000 0.2486
Os2 0.5000 0.5000 0.0000
Os3 0.5000 0.5000 0.5000